Computed, not measured: crystalline Ac4AgPd2 at its relaxed geometry at the GGA-PBE level of DFT.

```
Ac4AgPd2
1.0
-4.979 4.979 4.975
4.979 -4.979 4.975
4.979 4.979 -4.975
Ac Ag Pd
8 2 4
direct
0.205 0.265 0.560
0.205 0.646 0.940
0.265 0.205 0.060
0.354 0.795 0.560
0.646 0.205 0.440
0.735 0.795 0.940
0.795 0.354 0.060
0.795 0.735 0.440
0.125 0.875 0.250
0.875 0.125 0.750
0.000 0.500 0.500
0.500 0.000 0.000
0.500 0.500 0.000
0.500 0.500 0.500
```

* energy of formation from the pure elements: -0.45 eV per atom
* N(E_F): 1.129 states/eV per atom
* crystal system: tetragonal